[1]
{"formula": "Cs3Na2SrCl6", "functional": "PBE-GGA", "state": "optimized geometry", "lattice": [[7.997, 0.000, 0.000], [-3.999, 6.926, 0.000], [0.000, 0.000, 9.141]], "species": ["Na", "Na", "Cl", "Cl", "Cl", "Cl", "Cl", "Cl", "Cs", "Cs", "Cs", "Sr"], "fractional_positions": [[0.333, 0.667, 0.166], [0.667, 0.333, 0.834], [0.332, 0.166, 0.690], [0.166, 0.332, 0.310], [0.668, 0.834, 0.310], [0.834, 0.668, 0.690], [0.834, 0.166, 0.690], [0.166, 0.834, 0.310], [0.000, 0.000, 0.000], [0.333, 0.667, 0.620], [0.667, 0.333, 0.380], [0.000, 0.000, 0.500]], "space_group": "P-3m1 (164)", "formation_energy_uncorrected_ev_per_atom": -1.824, "rho_g_cm3": 2.44, "e_tot_ev_per_cell": -39.852, "dos_ef_per_ev_cell": 2.2, "total_magnetization_mub_per_atom": 0.050}

---

[2]
{"formula": "Cs2NaSrCl5", "functional": "PBE-GGA", "state": "optimized geometry", "lattice": [[4.543, 0.000, 0.000], [-2.272, 9.590, 0.000], [0.000, 0.000, 14.672]], "species": ["Sr", "Sr", "Cl", "Cl", "Cl", "Cl", "Cl", "Cl", "Cl", "Cl", "Cl", "Cl", "Na", "Na", "Cs", "Cs", "Cs", "Cs"], "fractional_positions": [[0.209, 0.418, 0.009], [0.791, 0.582, 0.509], [0.500, 0.000, 0.291], [0.716, 0.433, 0.139], [0.059, 0.119, 0.046], [0.284, 0.567, 0.639], [0.361, 0.723, 0.999], [0.941, 0.881, 0.546], [0.695, 0.390, 0.882], [0.500, 0.000, 0.791], [0.639, 0.277, 0.499], [0.305, 0.610, 0.382], [0.509, 0.019, 0.971], [0.491, 0.981, 0.471], [0.132, 0.263, 0.297], [0.894, 0.787, 0.191], [0.106, 0.213, 0.691], [0.868, 0.737, 0.797]], "space_group": "Cmc2_1 (36)", "formation_energy_uncorrected_ev_per_atom": -2.094, "rho_g_cm3": 2.88, "e_tot_ev_per_cell": -65.578, "dos_ef_per_ev_cell": 0.0, "total_magnetization_mub_per_atom": 0.018}

---

[3]
{"formula": "CsNa2TaCl8", "functional": "PBE-GGA", "state": "optimized geometry", "lattice": [[5.950, -0.077, 0.616], [-0.195, 7.518, 1.759], [0.598, 2.282, 10.307]], "species": ["Na", "Na", "Cl", "Cl", "Cl", "Cl", "Cl", "Cl", "Cl", "Cl", "Ta", "Cs"], "fractional_positions": [[0.559, 0.656, 0.315], [0.441, 0.344, 0.685], [0.129, 0.792, 0.214], [0.287, 0.920, 0.861], [0.760, 0.737, 0.025], [0.240, 0.263, 0.975], [0.713, 0.080, 0.139], [0.513, 0.278, 0.457], [0.487, 0.722, 0.543], [0.871, 0.208, 0.786], [0.000, 0.000, 0.000], [0.000, 0.000, 0.500]], "space_group": "P-1 (2)", "formation_energy_uncorrected_ev_per_atom": -1.579, "rho_g_cm3": 2.46, "e_tot_ev_per_cell": -49.062, "dos_ef_per_ev_cell": 0.0, "total_magnetization_mub_per_atom": 0.000}

---

[4]
{"formula": "CsNaTbCl5", "functional": "PBE-GGA", "state": "optimized geometry", "lattice": [[-6.278, 4.801, 0.913], [2.111, -3.014, 7.054], [7.607, 6.773, -1.774]], "species": ["Na", "Na", "Cl", "Cl", "Cl", "Cl", "Cl", "Cl", "Cl", "Cl", "Cl", "Cl", "Tb", "Tb", "Cs", "Cs"], "fractional_positions": [[0.314, 0.686, 0.750], [0.686, 0.314, 0.250], [0.059, 0.941, 0.250], [0.900, 0.281, 0.083], [0.352, 0.241, 0.069], [0.241, 0.352, 0.569], [0.648, 0.759, 0.931], [0.100, 0.719, 0.917], [0.759, 0.648, 0.431], [0.941, 0.059, 0.750], [0.281, 0.900, 0.583], [0.719, 0.100, 0.417], [0.000, 0.000, 0.500], [0.000, 0.000, 0.000], [0.335, 0.665, 0.250], [0.665, 0.335, 0.750]], "space_group": "C2/c (15)", "formation_energy_uncorrected_ev_per_atom": -2.117, "rho_g_cm3": 2.84, "e_tot_ev_per_cell": -65.941, "dos_ef_per_ev_cell": 0.0, "total_magnetization_mub_per_atom": 0.000}

---

[5]
{"formula": "Cs3Na2TbCl9", "functional": "PBE-GGA", "state": "optimized geometry", "lattice": [[7.632, 0.000, 0.000], [-3.816, 6.610, 0.000], [0.000, 0.000, 9.743]], "species": ["Tb", "Cs", "Cs", "Cs", "Cl", "Cl", "Cl", "Cl", "Cl", "Cl", "Cl", "Cl", "Cl", "Na", "Na"], "fractional_positions": [[0.000, 0.000, 0.500], [0.333, 0.667, 0.675], [0.667, 0.333, 0.325], [0.000, 0.000, 0.000], [0.500, 0.500, 0.000], [0.326, 0.163, 0.658], [0.000, 0.500, 0.000], [0.163, 0.326, 0.342], [0.500, 0.000, 0.000], [0.674, 0.837, 0.342], [0.837, 0.163, 0.658], [0.163, 0.837, 0.342], [0.837, 0.674, 0.658], [0.333, 0.667, 0.174], [0.667, 0.333, 0.826]], "space_group": "P-3m1 (164)", "formation_energy_uncorrected_ev_per_atom": -1.875, "rho_g_cm3": 3.12, "e_tot_ev_per_cell": -54.573, "dos_ef_per_ev_cell": 15.2, "total_magnetization_mub_per_atom": 0.069}

---

[6]
{"formula": "Cs2NaTbCl6", "functional": "PBE-GGA", "state": "optimized geometry", "lattice": [[7.725, 0.000, 0.000], [3.863, 6.690, 0.000], [3.863, 2.230, 6.308]], "species": ["Cl", "Cl", "Cl", "Cl", "Cl", "Cl", "Tb", "Na", "Cs", "Cs"], "fractional_positions": [[0.243, 0.243, 0.757], [0.757, 0.243, 0.757], [0.757, 0.243, 0.243], [0.243, 0.757, 0.243], [0.243, 0.757, 0.757], [0.757, 0.757, 0.243], [0.000, 0.000, 0.000], [0.500, 0.500, 0.500], [0.750, 0.750, 0.750], [0.250, 0.250, 0.250]], "space_group": "Fm-3m (225)", "formation_energy_uncorrected_ev_per_atom": -2.143, "rho_g_cm3": 3.36, "e_tot_ev_per_cell": -40.165, "dos_ef_per_ev_cell": 0.0, "total_magnetization_mub_per_atom": 0.000}